# 1
The following is a SCAN calculation of HfPtCl2 at its PBEsol-relaxed geometry, from Alexandria via LeMat-Bulk.

Magnetization (μB/cell): 0.0
Mass density (kg/m3): 8762
N(E_F) (states/eV per cell): 6.45
VASP energy (eV/atom): -36.940
Formation energy from raw total energies (eV per atom): 0.265

abc: 6.0746 6.2687 6.0746
angles: 61.02 90.00 118.98
Element x y z (fractional)
Hf: 0.2500 0.5000 0.2500
Hf: 0.5000 0.0000 0.5000
Pt: 0.7500 0.5000 0.7500
Pt: 0.0000 0.0000 0.0000
Cl: 0.6251 0.7500 0.3750
Cl: 0.1249 0.7500 0.8750
Cl: 0.8750 0.2500 0.6251
Cl: 0.3750 0.2500 0.1249

# 2
The following is a SCAN calculation of RbHfSi2Cl at its PBEsol-relaxed geometry, from Alexandria via LeMat-Bulk.

Magnetization (μB/cell): 0.0
Mass density (kg/m3): 4047
N(E_F) (states/eV per cell): 4.57
VASP energy (eV/atom): -19.803
Formation energy from raw total energies (eV per atom): 2.482

abc: 5.1874 5.1874 5.4225
angles: 90.00 90.00 90.00
Element x y z (fractional)
Si: 0.0000 0.5000 0.0000
Si: 0.5000 0.0000 0.0000
Hf: 0.0000 0.0000 0.5000
Rb: 0.0000 0.0000 0.0000
Cl: 0.5000 0.5000 0.5000

# 3
The following is a SCAN calculation of HfReSCl2 at its PBEsol-relaxed geometry, from Alexandria via LeMat-Bulk.

Magnetization (μB/cell): 5.6
Mass density (kg/m3): 6580
N(E_F) (states/eV per cell): 2.01
VASP energy (eV/atom): -31.651
Formation energy from raw total energies (eV per atom): 0.220

abc: 4.8946 4.9104 4.9104
angles: 90.00 90.00 90.00
Each line ends with the local moment (μB).
Element x y z (fractional)
Re: 0.5000 0.5000 0.5000  4.07
S: 0.5000 0.0000 0.0000  0.09
Hf: 0.0000 0.0000 0.0000  -0.02
Cl: 0.0000 0.0000 0.5000  0.06
Cl: 0.0000 0.5000 0.0000  0.06

# 4
The following is a SCAN calculation of HfRhCl2 at its PBEsol-relaxed geometry, from Alexandria via LeMat-Bulk.

Magnetization (μB/cell): 0.0
Mass density (kg/m3): 9622
N(E_F) (states/eV per cell): 2.25
VASP energy (eV/atom): -28.270
Formation energy from raw total energies (eV per atom): -0.170

abc: 4.4137 4.4137 4.4137
angles: 60.00 60.00 60.00
Element x y z (fractional)
Rh: 0.0000 0.0000 0.0000
Hf: 0.5000 0.5000 0.5000
Cl: 0.2500 0.2500 0.2500
Cl: 0.7500 0.7500 0.7500

# 5
The following is a SCAN calculation of HfRh2Cl at its PBEsol-relaxed geometry, from Alexandria via LeMat-Bulk.

Magnetization (μB/cell): 0.0
Mass density (kg/m3): 11055
N(E_F) (states/eV per cell): 2.57
VASP energy (eV/atom): -34.649
Formation energy from raw total energies (eV per atom): -0.101

abc: 4.4675 4.4675 4.4675
angles: 60.00 60.00 60.00
Element x y z (fractional)
Rh: 0.2500 0.2500 0.2500
Rh: 0.7500 0.7500 0.7500
Hf: 0.5000 0.5000 0.5000
Cl: 0.0000 0.0000 0.0000

# 6
The following is a SCAN calculation of HfRuS2Cl at its PBEsol-relaxed geometry, from Alexandria via LeMat-Bulk.

Magnetization (μB/cell): 0.0
Mass density (kg/m3): 6851
N(E_F) (states/eV per cell): 3.16
VASP energy (eV/atom): -24.785
Formation energy from raw total energies (eV per atom): 0.162

abc: 4.4485 4.5451 4.5451
angles: 90.00 90.00 90.00
Element x y z (fractional)
Ru: 0.0000 0.0000 0.0000
S: 0.0000 0.0000 0.5000
S: 0.0000 0.5000 0.0000
Hf: 0.5000 0.5000 0.5000
Cl: 0.5000 0.0000 0.0000

# 7
The following is a SCAN calculation of HfSCl3 at its PBEsol-relaxed geometry, from Alexandria via LeMat-Bulk.

Magnetization (μB/cell): 2.5
Mass density (kg/m3): 4706
N(E_F) (states/eV per cell): 2.38
VASP energy (eV/atom): -18.624
Formation energy from raw total energies (eV per atom): 0.622

abc: 4.8177 4.8177 4.8177
angles: 90.00 90.00 90.00
Each line ends with the local moment (μB).
Element x y z (fractional)
S: 0.0000 0.0000 0.0000  -0.01
Hf: 0.5000 0.5000 0.5000  1.58
Cl: 0.0000 0.5000 0.0000  0.02
Cl: 0.0000 0.0000 0.5000  0.02
Cl: 0.5000 0.0000 0.0000  0.02

# 8
The following is a SCAN calculation of HfScS2Cl at its PBEsol-relaxed geometry, from Alexandria via LeMat-Bulk.

Magnetization (μB/cell): 1.3
Mass density (kg/m3): 4761
N(E_F) (states/eV per cell): 2.99
VASP energy (eV/atom): -21.907
Formation energy from raw total energies (eV per atom): -1.079

abc: 4.7396 4.8758 4.8758
angles: 90.00 90.00 90.00
Each line ends with the local moment (μB).
Element x y z (fractional)
Sc: 0.5000 0.5000 0.5000  0.97
S: 0.0000 0.0000 0.5000  -0.01
S: 0.0000 0.5000 0.0000  -0.01
Hf: 0.0000 0.0000 0.0000  0.05
Cl: 0.5000 0.0000 0.0000  0.00

# 9
The following is a SCAN calculation of HfSnSCl2 at its PBEsol-relaxed geometry, from Alexandria via LeMat-Bulk.

Magnetization (μB/cell): 2.4
Mass density (kg/m3): 4964
N(E_F) (states/eV per cell): 5.46
VASP energy (eV/atom): -24.519
Formation energy from raw total energies (eV per atom): 0.316

abc: 5.0746 5.0746 5.1983
angles: 90.00 90.00 90.00
Each line ends with the local moment (μB).
Element x y z (fractional)
S: 0.0000 0.0000 0.5000  -0.01
Hf: 0.5000 0.5000 0.5000  1.47
Sn: 0.0000 0.0000 0.0000  0.01
Cl: 0.0000 0.5000 0.0000  0.03
Cl: 0.5000 0.0000 0.0000  0.03

# 10
The following is a SCAN calculation of SrHfS2Cl at its PBEsol-relaxed geometry, from Alexandria via LeMat-Bulk.

Magnetization (μB/cell): 0.0
Mass density (kg/m3): 5185
N(E_F) (states/eV per cell): 1.29
VASP energy (eV/atom): -24.259
Formation energy from raw total energies (eV per atom): -1.823

abc: 4.8128 4.9329 4.9329
angles: 90.00 90.00 90.00
Element x y z (fractional)
Sr: 0.5000 0.5000 0.5000
S: 0.0000 0.0000 0.5000
S: 0.0000 0.5000 0.0000
Hf: 0.0000 0.0000 0.0000
Cl: 0.5000 0.0000 0.0000

# 11
The following is a SCAN calculation of HfTaSCl2 at its PBEsol-relaxed geometry, from Alexandria via LeMat-Bulk.

Magnetization (μB/cell): 4.2
Mass density (kg/m3): 6762
N(E_F) (states/eV per cell): 6.00
VASP energy (eV/atom): -30.868
Formation energy from raw total energies (eV per atom): 0.100

abc: 4.7849 4.7849 4.9598
angles: 90.00 90.00 90.00
Each line ends with the local moment (μB).
Element x y z (fractional)
S: 0.0000 0.0000 0.5000  -0.03
Cl: 0.0000 0.5000 0.0000  0.04
Cl: 0.5000 0.0000 0.0000  0.04
Hf: 0.0000 0.0000 0.0000  0.05
Ta: 0.5000 0.5000 0.5000  2.47

# 12
The following is a SCAN calculation of HfWS2Cl at its PBEsol-relaxed geometry, from Alexandria via LeMat-Bulk.

Magnetization (μB/cell): 4.8
Mass density (kg/m3): 6760
N(E_F) (states/eV per cell): 2.94
VASP energy (eV/atom): -31.642
Formation energy from raw total energies (eV per atom): 0.277

abc: 4.7379 4.8938 4.8938
angles: 90.00 90.00 90.00
Each line ends with the local moment (μB).
Element x y z (fractional)
S: 0.0000 0.0000 0.5000  -0.06
S: 0.0000 0.5000 0.0000  -0.06
Hf: 0.0000 0.0000 0.0000  0.09
W: 0.5000 0.5000 0.5000  3.50
Cl: 0.5000 0.0000 0.0000  0.05

# 13
The following is a SCAN calculation of HfSbCl2 at its PBEsol-relaxed geometry, from Alexandria via LeMat-Bulk.

Magnetization (μB/cell): 0.0
Mass density (kg/m3): 5506
N(E_F) (states/eV per cell): 1.62
VASP energy (eV/atom): -29.543
Energy relative to the lowest polymorph listed for this composition (eV per atom): 0.000
Formation energy from raw total energies (eV per atom): -0.571

abc: 3.2967 3.2967 12.0438
angles: 82.13 82.13 60.00
Element x y z (fractional)
Sb: 0.5000 0.5000 0.5000
Hf: 0.0000 0.0000 0.0000
Cl: 0.9354 0.9354 0.1937
Cl: 0.0646 0.0646 0.8063

# 14
The following is a SCAN calculation of HfSbCl2 at its PBEsol-relaxed geometry, from Alexandria via LeMat-Bulk.

Magnetization (μB/cell): 0.0
Mass density (kg/m3): 7983
N(E_F) (states/eV per cell): 2.04
VASP energy (eV/atom): -28.985
Energy relative to the lowest polymorph listed for this composition (eV per atom): 0.558
Formation energy from raw total energies (eV per atom): -0.012

abc: 4.7796 4.7796 4.7796
angles: 60.00 60.00 60.00
Element x y z (fractional)
Sb: 0.0000 0.0000 0.0000
Hf: 0.5000 0.5000 0.5000
Cl: 0.2500 0.2500 0.2500
Cl: 0.7500 0.7500 0.7500

# 15
The following is a SCAN calculation of HfSbCl2 at its PBEsol-relaxed geometry, from Alexandria via LeMat-Bulk.

Magnetization (μB/cell): 1.2
Mass density (kg/m3): 7113
N(E_F) (states/eV per cell): 5.58
VASP energy (eV/atom): -29.458
Energy relative to the lowest polymorph listed for this composition (eV per atom): 0.085
Formation energy from raw total energies (eV per atom): -0.486

abc: 4.3476 4.3476 9.6700
angles: 102.99 102.99 90.00
Each line ends with the local moment (μB).
Element x y z (fractional)
Sb: 0.7500 0.2500 0.5000  0.07
Sb: 0.5000 0.5000 0.0000  0.07
Hf: 0.2500 0.7500 0.5000  0.28
Hf: 0.0000 0.0000 0.0000  0.28
Cl: 0.3435 0.8750 0.2500  0.01
Cl: 0.9065 0.3750 0.2500  0.01
Cl: 0.1250 0.0935 0.7500  0.01
Cl: 0.6250 0.6565 0.7500  0.01

# 16
The following is a SCAN calculation of HfSc3Cl at its PBEsol-relaxed geometry, from Alexandria via LeMat-Bulk.

Magnetization (μB/cell): 0.0
Mass density (kg/m3): 4046
N(E_F) (states/eV per cell): 2.20
VASP energy (eV/atom): -21.981
Formation energy from raw total energies (eV per atom): 0.691

abc: 5.2311 5.2311 5.2311
angles: 90.00 90.00 90.00
Element x y z (fractional)
Sc: 0.0000 0.5000 0.0000
Sc: 0.0000 0.0000 0.5000
Sc: 0.5000 0.0000 0.0000
Hf: 0.0000 0.0000 0.0000
Cl: 0.5000 0.5000 0.5000

# 17
The following is a SCAN calculation of HfScSnCl2 at its PBEsol-relaxed geometry, from Alexandria via LeMat-Bulk.

Magnetization (μB/cell): 0.0
Mass density (kg/m3): 4534
N(E_F) (states/eV per cell): 4.96
VASP energy (eV/atom): -25.275
Formation energy from raw total energies (eV per atom): 0.482

abc: 5.0793 5.0793 5.8636
angles: 90.00 90.00 90.00
Element x y z (fractional)
Sc: 0.5000 0.5000 0.5000
Hf: 0.0000 0.0000 0.5000
Sn: 0.0000 0.0000 0.0000
Cl: 0.0000 0.5000 0.0000
Cl: 0.5000 0.0000 0.0000

# 18
The following is a SCAN calculation of Hf2SeCl at its PBEsol-relaxed geometry, from Alexandria via LeMat-Bulk.

Magnetization (μB/cell): 0.0
Mass density (kg/m3): 10032
N(E_F) (states/eV per cell): 5.65
VASP energy (eV/atom): -38.716
Formation energy from raw total energies (eV per atom): -0.365

abc: 5.8854 5.8854 5.8854
angles: 107.08 107.08 114.37
Element x y z (fractional)
Hf: 0.8439 0.8750 0.4689
Hf: 0.4061 0.3750 0.5311
Hf: 0.6250 0.1561 0.0311
Hf: 0.1250 0.5939 0.9689
Se: 0.2500 0.7500 0.5000
Se: 0.0000 0.0000 0.0000
Cl: 0.7500 0.2500 0.5000
Cl: 0.5000 0.5000 0.0000

# 19
The following is a SCAN calculation of Hf3SiCl at its PBEsol-relaxed geometry, from Alexandria via LeMat-Bulk.

Magnetization (μB/cell): 0.0
Mass density (kg/m3): 8384
N(E_F) (states/eV per cell): 8.63
VASP energy (eV/atom): -40.510
Formation energy from raw total energies (eV per atom): 0.692

abc: 4.9137 4.9137 4.9137
angles: 90.00 90.00 90.00
Element x y z (fractional)
Si: 0.0000 0.0000 0.0000
Hf: 0.0000 0.5000 0.0000
Hf: 0.0000 0.0000 0.5000
Hf: 0.5000 0.0000 0.0000
Cl: 0.5000 0.5000 0.5000

# 20
The following is a SCAN calculation of HfSn2Cl at its PBEsol-relaxed geometry, from Alexandria via LeMat-Bulk.

Magnetization (μB/cell): 0.0
Mass density (kg/m3): 8116
N(E_F) (states/eV per cell): 3.84
VASP energy (eV/atom): -35.400
Formation energy from raw total energies (eV per atom): 0.223

abc: 5.0736 5.0736 5.0736
angles: 60.00 60.00 60.00
Element x y z (fractional)
Hf: 0.5000 0.5000 0.5000
Sn: 0.2500 0.2500 0.2500
Sn: 0.7500 0.7500 0.7500
Cl: 0.0000 0.0000 0.0000

# 21
The following is a SCAN calculation of HfTaCl3 at its PBEsol-relaxed geometry, from Alexandria via LeMat-Bulk.

Magnetization (μB/cell): 4.4
Mass density (kg/m3): 6619
N(E_F) (states/eV per cell): 7.48
VASP energy (eV/atom): -30.395
Formation energy from raw total energies (eV per atom): 0.243

abc: 4.8890 4.8890 4.8890
angles: 90.00 90.00 90.00
Each line ends with the local moment (μB).
Element x y z (fractional)
Cl: 0.0000 0.5000 0.0000  0.05
Cl: 0.0000 0.0000 0.5000  0.05
Cl: 0.5000 0.0000 0.0000  0.05
Hf: 0.0000 0.0000 0.0000  -0.08
Ta: 0.5000 0.5000 0.5000  2.62

# 22
The following is a SCAN calculation of HfTe8Cl6 at its PBEsol-relaxed geometry, from Alexandria via LeMat-Bulk.

Magnetization (μB/cell): 0.0
Mass density (kg/m3): 4979
VASP energy (eV/atom): -28.023
Formation energy from raw total energies (eV per atom): -0.786

abc: 6.8061 8.7787 16.5783
angles: 104.12 99.34 93.91
Element x y z (fractional)
Hf: 0.0000 0.0000 0.5000
Hf: 0.0000 0.0000 0.0000
Te: 0.5428 0.7110 0.5983
Te: 0.2114 0.6510 0.6695
Te: 0.7886 0.3490 0.3305
Te: 0.1959 0.4446 0.2241
Te: 0.5540 0.2739 0.1739
Te: 0.4460 0.7261 0.8261
Te: 0.6498 0.4166 0.6048
Te: 0.3502 0.5834 0.3952
Te: 0.8041 0.5554 0.7759
Te: 0.7183 0.4994 0.1025
Te: 0.7381 0.3003 0.8412
Te: 0.2619 0.6997 0.1588
Te: 0.3378 0.2483 0.7727
Te: 0.6622 0.7517 0.2273
Te: 0.2817 0.5006 0.8975
Te: 0.4572 0.2890 0.4017
Cl: 0.8850 0.1056 0.6315
Cl: 0.1150 0.8944 0.3685
Cl: 0.6620 0.9835 0.4193
Cl: 0.3380 0.0165 0.5807
Cl: 0.9247 0.7288 0.5111
Cl: 0.0753 0.2712 0.4889
Cl: 0.0012 0.9387 0.8500
Cl: 0.9988 0.0613 0.1500
Cl: 0.6830 0.1113 0.9750
Cl: 0.3170 0.8887 0.0250
Cl: 0.8214 0.7384 0.9838
Cl: 0.1786 0.2616 0.0162

# 23
The following is a SCAN calculation of HfTe6Cl6 at its PBEsol-relaxed geometry, from Alexandria via LeMat-Bulk.

Magnetization (μB/cell): 0.0
Mass density (kg/m3): 4962
VASP energy (eV/atom): -26.610
Formation energy from raw total energies (eV per atom): -0.914

abc: 11.0363 10.8807 12.8944
angles: 90.00 90.00 90.00
Element x y z (fractional)
Hf: 0.2626 0.7952 0.7500
Hf: 0.2626 0.7048 0.2500
Hf: 0.7374 0.2048 0.2500
Hf: 0.7374 0.2952 0.7500
Te: 0.2785 0.2649 0.2500
Te: 0.7215 0.7351 0.7500
Te: 0.1842 0.4037 0.9008
Te: 0.0202 0.2500 0.5000
Te: 0.9798 0.7500 0.0000
Te: 0.9798 0.7500 0.5000
Te: 0.0202 0.2500 0.0000
Te: 0.3883 0.3701 0.4684
Te: 0.6117 0.8701 0.0316
Te: 0.3883 0.1299 0.5316
Te: 0.6117 0.6299 0.9684
Te: 0.6117 0.6299 0.5316
Te: 0.3883 0.1299 0.9684
Te: 0.6117 0.8701 0.4684
Te: 0.3883 0.3701 0.0316
Te: 0.1842 0.4037 0.5992
Te: 0.8158 0.9037 0.9008
Te: 0.1842 0.0963 0.4008
Te: 0.8158 0.5963 0.0992
Te: 0.8158 0.5963 0.4008
Te: 0.1842 0.0963 0.0992
Te: 0.8158 0.9037 0.5992
Te: 0.7215 0.7649 0.2500
Te: 0.2785 0.2351 0.7500
Cl: 0.8405 0.0820 0.1162
Cl: 0.1595 0.5820 0.1162
Cl: 0.8405 0.0820 0.3838
Cl: 0.6397 0.3313 0.3822
Cl: 0.3603 0.8313 0.1178
Cl: 0.6397 0.1687 0.6178
Cl: 0.3603 0.6687 0.8822
Cl: 0.3603 0.6687 0.6178
Cl: 0.6397 0.1687 0.8822
Cl: 0.3603 0.8313 0.3822
Cl: 0.6397 0.3313 0.1178
Cl: 0.0932 0.6573 0.7500
Cl: 0.9068 0.1573 0.7500
Cl: 0.0932 0.8427 0.2500
Cl: 0.9068 0.3427 0.2500
Cl: 0.4263 0.9444 0.7500
Cl: 0.5737 0.4444 0.7500
Cl: 0.4263 0.5556 0.2500
Cl: 0.5737 0.0556 0.2500
Cl: 0.1595 0.9180 0.6162
Cl: 0.1595 0.9180 0.8838
Cl: 0.8405 0.4180 0.8838
Cl: 0.1595 0.5820 0.3838
Cl: 0.8405 0.4180 0.6162

# 24
The following is a SCAN calculation of HfTlCl3 at its PBEsol-relaxed geometry, from Alexandria via LeMat-Bulk.

Magnetization (μB/cell): 2.8
Mass density (kg/m3): 5254
N(E_F) (states/eV per cell): 4.79
VASP energy (eV/atom): -31.600
Formation energy from raw total energies (eV per atom): 0.193

abc: 5.3673 5.3673 5.3673
angles: 90.00 90.00 90.00
Each line ends with the local moment (μB).
Element x y z (fractional)
Tl: 0.0000 0.0000 0.0000  0.00
Hf: 0.5000 0.5000 0.5000  1.65
Cl: 0.0000 0.5000 0.0000  0.04
Cl: 0.0000 0.0000 0.5000  0.04
Cl: 0.5000 0.0000 0.0000  0.04

# 25
The following is a SCAN calculation of HfWCl2 at its PBEsol-relaxed geometry, from Alexandria via LeMat-Bulk.

Magnetization (μB/cell): 0.0
Mass density (kg/m3): 10400
N(E_F) (states/eV per cell): 2.94
VASP energy (eV/atom): -36.840
Formation energy from raw total energies (eV per atom): 0.239

abc: 3.0209 3.0209 8.9249
angles: 80.26 80.26 60.00
Element x y z (fractional)
Hf: 0.0000 0.0000 0.0000
W: 0.5000 0.5000 0.5000
Cl: 0.9023 0.9023 0.2930
Cl: 0.0977 0.0977 0.7070